# 1
The following is a PBE calculation of a geometry-optimized Tb4InNi structure, from Alexandria.

Symmetry: No. 14
ΔE_f (eV per atom): -0.1376
Energy above the most stable polymorph in this dataset (meV/atom): 217

a = 6.8165 Å, b = 7.3038 Å, c = 7.1741 Å
α = 90.00°, β = 95.07°, γ = 90.00°
Fractional positions:
Tb 0.9055 0.6412 0.1818
Tb 0.5945 0.1412 0.8182
Tb 0.3125 0.3263 0.3567
Tb 0.1875 0.8263 0.6433
Tb 0.0945 0.3588 0.8182
Tb 0.4055 0.8588 0.1818
Tb 0.6875 0.6737 0.6433
Tb 0.8125 0.1737 0.3567
In 0.0000 0.0000 0.0000
In 0.5000 0.5000 0.0000
Ni 0.5000 0.0000 0.5000
Ni 0.0000 0.5000 0.5000

# 2
The following is a PBE calculation of a geometry-optimized ZnTeP2S structure, from Alexandria.

Symmetry: No. 123
Formation energy from raw total energies (meV per atom): 767
Energy above the most stable polymorph in this dataset (meV/atom): 0

a = 4.7295 Å, b = 4.7295 Å, c = 4.5529 Å
α = 90.00°, β = 90.00°, γ = 90.00°
Fractional positions:
P 0.0000 0.5000 0.0000
P 0.5000 0.0000 0.0000
Zn 0.0000 0.0000 0.0000
Te 0.5000 0.5000 0.5000
S 0.0000 0.0000 0.5000

# 3
The following is a PBE calculation of a geometry-optimized YFe2Pb structure, from Alexandria.

Symmetry: No. 166
ΔE_f (eV per atom): 0.6068

a = 8.6328 Å, b = 8.6328 Å, c = 8.6328 Å
α = 22.62°, β = 22.62°, γ = 22.62°
Site moments in Bohr magnetons follow the coordinates.
Fractional positions:
Fe 0.9967 0.9967 0.9967  2.52
Fe 0.5033 0.5033 0.5033  2.52
Pb 0.2500 0.2500 0.2500  -0.07
Y 0.7500 0.7500 0.7500  -0.38

# 4
The following is a PBE calculation of a geometry-optimized Ca4SnBi3 structure, from Alexandria.

Symmetry: No. 140
ΔE_f (eV per atom): -0.6522

a = 6.5732 Å, b = 9.3923 Å, c = 9.3923 Å
α = 82.97°, β = 69.52°, γ = 69.52°
Fractional positions:
Ca 0.4296 0.2959 0.8449
Ca 0.5704 0.7041 0.1551
Ca 0.7255 0.8449 0.7041
Ca 0.0704 0.1551 0.7041
Ca 0.2745 0.1551 0.2959
Ca 0.9296 0.8449 0.2959
Ca 0.7745 0.2959 0.1551
Ca 0.2255 0.7041 0.8449
Sn 0.7500 0.5000 0.5000
Sn 0.2500 0.5000 0.5000
Bi 0.7500 0.0000 0.0000
Bi 0.2500 0.0000 0.0000
Bi 0.3250 0.8500 0.5000
Bi 0.6750 0.1500 0.5000
Bi 0.1750 0.5000 0.1500
Bi 0.8250 0.5000 0.8500

# 5
The following is a PBE calculation of a geometry-optimized Th4Al structure, from Alexandria.

Symmetry: No. 227
ΔE_f (eV per atom): 0.7489
Energy above the most stable polymorph in this dataset (meV/atom): 199

a = 7.9677 Å, b = 7.9677 Å, c = 7.9677 Å
α = 60.00°, β = 60.00°, γ = 60.00°
Fractional positions:
Th 0.8554 0.8554 0.8554
Th 0.8554 0.4337 0.8554
Th 0.8554 0.8554 0.4337
Th 0.3946 0.8163 0.3946
Th 0.3946 0.3946 0.3946
Th 0.4337 0.8554 0.8554
Th 0.3946 0.3946 0.8163
Th 0.8163 0.3946 0.3946
Al 0.2500 0.2500 0.2500
Al 0.0000 0.0000 0.0000

# 6
The following is a PBE calculation of a geometry-optimized K6RbBr8 structure, from Alexandria.

Symmetry: No. 147
Formation energy from raw total energies (meV per atom): -1497

a = 5.1179 Å, b = 11.6779 Å, c = 11.6779 Å
α = 120.00°, β = 90.00°, γ = 90.00°
Site moments in Bohr magnetons follow the coordinates.
Fractional positions:
K 0.7559 0.6530 0.1223  0.00
K 0.7559 0.8777 0.5307  0.00
K 0.7559 0.4693 0.3470  0.00
K 0.2441 0.3470 0.8777  0.00
K 0.2441 0.1223 0.4693  0.00
K 0.2441 0.5307 0.6530  0.00
Rb 0.5000 0.0000 0.0000  0.00
Br 0.7423 0.9682 0.2918  0.10
Br 0.7423 0.7082 0.6764  0.10
Br 0.7423 0.3236 0.0318  0.10
Br 0.2577 0.0318 0.7082  0.10
Br 0.2577 0.2918 0.3236  0.10
Br 0.2577 0.6764 0.9682  0.10
Br 0.7460 0.3333 0.6667  0.11
Br 0.2540 0.6667 0.3333  0.11

# 7
The following is a PBE calculation of a geometry-optimized CuF5 structure, from Alexandria.

Symmetry: No. 2
Formation energy from raw total energies (meV per atom): -766
Energy above the most stable polymorph in this dataset (meV/atom): 0

a = 3.4919 Å, b = 5.0444 Å, c = 10.1577 Å
α = 52.81°, β = 33.38°, γ = 56.26°
Fractional positions:
Cu 0.0278 0.0000 0.9444
F 0.4492 0.8273 0.2815
F 0.6063 0.1727 0.6073
F 0.7605 0.7496 0.8779
F 0.0278 0.5000 0.4444
F 0.2950 0.2504 0.0110

# 8
The following is a PBE calculation of a geometry-optimized MnWSe structure, from Alexandria.

Symmetry: No. 38
Formation energy from raw total energies (meV per atom): 266
Energy above the most stable polymorph in this dataset (meV/atom): 0

a = 3.0942 Å, b = 3.1257 Å, c = 12.0814 Å
α = 90.00°, β = 90.00°, γ = 119.67°
Site moments in Bohr magnetons follow the coordinates.
Fractional positions:
W 0.5172 0.0343 0.0000  0.05
W 0.3711 0.7422 0.5000  -0.56
Mn 0.7013 0.4025 0.3415  3.23
Mn 0.7013 0.4025 0.6585  3.23
Se 0.1879 0.3758 0.8494  0.02
Se 0.1879 0.3758 0.1506  0.02

# 9
The following is a PBE calculation of a geometry-optimized CoRe2Pb structure, from Alexandria.

Symmetry: No. 10
ΔE_f (eV per atom): 0.8473

a = 4.8132 Å, b = 3.0540 Å, c = 4.6534 Å
α = 93.79°, β = 90.00°, γ = 90.00°
Site moments in Bohr magnetons follow the coordinates.
Fractional positions:
Co 0.5000 0.2500 0.2500  1.10
Pb 0.5000 0.7500 0.7500  -0.02
Re 0.0000 0.9519 0.0381  0.00
Re 0.0000 0.5481 0.4619  0.00

# 10
The following is a PBE calculation of a geometry-optimized PmZrAg2 structure, from Alexandria.

Symmetry: No. 123
ΔE_f (eV per atom): -0.0542
Energy above the most stable polymorph in this dataset (meV/atom): 32

a = 3.5601 Å, b = 5.0912 Å, c = 5.0912 Å
α = 90.00°, β = 90.00°, γ = 90.00°
Site moments in Bohr magnetons follow the coordinates.
Fractional positions:
Zr 0.5000 0.0000 0.0000  0.56
Ag 0.0000 0.0000 0.5000  0.04
Ag 0.0000 0.5000 0.0000  0.04
Pm 0.5000 0.5000 0.5000  0.17

# 11
The following is a PBE calculation of a geometry-optimized Re2PSe structure, from Alexandria.

Symmetry: No. 99
Formation energy from raw total energies (meV per atom): 30
Energy above the most stable polymorph in this dataset (meV/atom): 0

a = 2.9419 Å, b = 2.9419 Å, c = 7.9114 Å
α = 90.00°, β = 90.00°, γ = 90.00°
Fractional positions:
Re 0.0000 0.0000 0.9965
Re 0.5000 0.5000 0.2407
P 0.5000 0.5000 0.8281
Se 0.0000 0.0000 0.4346

# 12
The following is a PBE calculation of a geometry-optimized Sr2MnMoN4 structure, from Alexandria.

Symmetry: No. 59
Formation energy from raw total energies (meV per atom): -677

a = 5.8726 Å, b = 6.1526 Å, c = 7.1722 Å
α = 90.00°, β = 90.00°, γ = 90.00°
Site moments in Bohr magnetons follow the coordinates.
Fractional positions:
Sr 0.5000 0.2424 0.2483  0.02
Sr 0.5000 0.2424 0.7517  0.02
Sr 0.0000 0.7576 0.7483  0.02
Sr 0.0000 0.7576 0.2517  0.02
Mn 0.0000 0.2224 0.5000  3.89
Mn 0.5000 0.7776 0.0000  3.89
Mo 0.5000 0.8036 0.5000  0.28
Mo 0.0000 0.1964 0.0000  0.28
N 0.2497 0.0066 0.0000  0.05
N 0.7497 0.9934 0.5000  0.05
N 0.2503 0.9934 0.5000  0.05
N 0.7503 0.0066 0.0000  0.05
N 0.5000 0.6528 0.7312  0.05
N 0.0000 0.3472 0.2312  0.05
N 0.0000 0.3472 0.7688  0.05
N 0.5000 0.6528 0.2688  0.05

| no. | DOS at the Fermi energy (states/eV per atom) |
| --- | --- |
| 1 | 1.27 |
| 2 | 0.80 |
| 3 | 1.20 |
| 4 | 0.30 |
| 5 | 1.65 |
| 6 | 1.99 |
| 7 | 0.04 |
| 8 | 0.63 |
| 9 | 1.04 |
| 10 | 0.92 |
| 11 | 0.51 |
| 12 | 0.05 |